Entry A
LiTb2Pd2: optimized geometry, GGA-PBE.

Results
calculated volume: 210.93 Å³/cell

Cell lengths 5.782, 5.782, 7.758 Å; angles 103.33, 103.33, 57.45 degrees
Fractional coordinates of all 10 atoms:
Li 0.150 0.850 0.750
Li 0.850 0.150 0.250
Tb 0.212 0.490 0.349
Tb 0.490 0.212 0.849
Tb 0.510 0.788 0.151
Tb 0.788 0.510 0.651
Pd 0.004 0.735 0.997
Pd 0.265 0.996 0.503
Pd 0.735 0.004 0.497
Pd 0.996 0.265 0.003

***

Entry B
LiTb2Pd2: optimized geometry, GGA-PBE.

Results
calculated volume: 223.08 Å³/cell

Cell lengths 7.682, 7.682, 3.781 Å; angles 90.00, 90.00, 90.00 degrees
Fractional coordinates of all 10 atoms:
Li 0.000 0.000 0.000
Li 0.500 0.500 0.000
Tb 0.166 0.334 0.500
Tb 0.334 0.834 0.500
Tb 0.666 0.166 0.500
Tb 0.834 0.666 0.500
Pd 0.134 0.634 0.000
Pd 0.366 0.134 0.000
Pd 0.634 0.866 0.000
Pd 0.866 0.366 0.000

***

The most stable arrangement is entry B, and the next structure is 27 meV per atom less stable.

***

Entry A
Li2TcPd2: optimized geometry, GGA-PBE.

Results
calculated volume: 134.07 Å³/cell

Cell lengths 7.042, 7.042, 2.704 Å; angles 90.00, 90.00, 90.00 degrees
Fractional coordinates of all 10 atoms:
Li 0.114 0.386 0.000
Li 0.386 0.886 0.000
Li 0.614 0.114 0.000
Li 0.886 0.614 0.000
Tc 0.000 0.000 0.000
Tc 0.500 0.500 0.000
Pd 0.188 0.688 0.500
Pd 0.312 0.188 0.500
Pd 0.688 0.812 0.500
Pd 0.812 0.312 0.500

***

Entry B
Li2TcPd2: optimized geometry, GGA-PBE.

Results
calculated volume: 138.72 Å³/cell

Cell lengths 7.227, 7.227, 2.656 Å; angles 90.00, 90.00, 90.00 degrees
Fractional coordinates of all 10 atoms:
Li 0.146 0.354 0.000
Li 0.354 0.854 0.000
Li 0.646 0.146 0.000
Li 0.854 0.646 0.000
Tc 0.000 0.000 0.500
Tc 0.500 0.500 0.500
Pd 0.153 0.653 0.500
Pd 0.347 0.153 0.500
Pd 0.653 0.847 0.500
Pd 0.847 0.347 0.500

***

The most stable arrangement is entry A, and the next structure is 107 meV per atom less stable.

***

Entry A
LiTe2Pd2: optimized geometry, GGA-PBE.

Results
calculated volume: 205.72 Å³/cell

Cell lengths 7.470, 7.470, 3.687 Å; angles 90.00, 90.00, 90.00 degrees
Fractional coordinates of all 10 atoms:
Li 0.000 0.000 0.000
Li 0.500 0.500 0.000
Te 0.172 0.328 0.500
Te 0.328 0.828 0.500
Te 0.672 0.172 0.500
Te 0.828 0.672 0.500
Pd 0.133 0.633 0.000
Pd 0.367 0.133 0.000
Pd 0.633 0.867 0.000
Pd 0.867 0.367 0.000

***

Entry B
LiTe2Pd2: optimized geometry, GGA-PBE.

Results
calculated volume: 116.60 Å³/cell

Cell lengths 7.205, 7.205, 7.205 Å; angles 145.98, 145.98, 48.88 degrees
Fractional coordinates of all 5 atoms:
Li 0.000 0.000 0.000
Te 0.380 0.380 0.000
Te 0.620 0.620 0.000
Pd 0.250 0.750 0.500
Pd 0.750 0.250 0.500

***

The most stable arrangement is entry A, and the next structure is 24 meV per atom less stable.

***

Entry A
LiTePd6: optimized geometry, GGA-PBE.

Results
calculated volume: 133.84 Å³/cell

Cell lengths 5.095, 5.099, 5.189 Å; angles 93.43, 94.53, 93.53 degrees
Fractional coordinates of all 8 atoms:
Li 0.000 0.000 0.000
Te 0.500 0.500 0.500
Pd 0.055 0.440 0.752
Pd 0.249 0.941 0.568
Pd 0.435 0.751 0.062
Pd 0.565 0.249 0.938
Pd 0.751 0.059 0.432
Pd 0.945 0.560 0.248

***

Entry B
LiTePd6: optimized geometry, GGA-PBE.

Results
calculated volume: 125.62 Å³/cell

Cell lengths 7.927, 7.927, 7.927 Å; angles 149.81, 149.81, 43.22 degrees
Fractional coordinates of all 8 atoms:
Li 0.000 0.000 0.000
Te 0.500 0.500 0.000
Pd 0.120 0.620 0.500
Pd 0.252 0.252 0.000
Pd 0.380 0.880 0.500
Pd 0.620 0.120 0.500
Pd 0.748 0.748 0.000
Pd 0.880 0.380 0.500

***

The most stable arrangement is entry B, and the next structure is 129 meV per atom less stable.

***

Entry A
Li2TePd2: optimized geometry, GGA-PBE.

Results
calculated volume: 169.84 Å³/cell

Cell lengths 7.059, 7.059, 3.408 Å; angles 90.00, 90.00, 90.00 degrees
Fractional coordinates of all 10 atoms:
Li 0.152 0.348 0.000
Li 0.348 0.848 0.000
Li 0.652 0.152 0.000
Li 0.848 0.652 0.000
Te 0.000 0.000 0.500
Te 0.500 0.500 0.500
Pd 0.146 0.646 0.500
Pd 0.354 0.146 0.500
Pd 0.646 0.854 0.500
Pd 0.854 0.354 0.500

***

Entry B
Li2TePd2: optimized geometry, GGA-PBE.

Results
calculated volume: 160.09 Å³/cell

Cell lengths 7.170, 7.170, 3.114 Å; angles 90.00, 90.00, 90.00 degrees
Fractional coordinates of all 10 atoms:
Li 0.130 0.370 0.000
Li 0.370 0.870 0.000
Li 0.630 0.130 0.000
Li 0.870 0.630 0.000
Te 0.000 0.000 0.000
Te 0.500 0.500 0.000
Pd 0.164 0.664 0.500
Pd 0.336 0.164 0.500
Pd 0.664 0.836 0.500
Pd 0.836 0.336 0.500

***

The most stable arrangement is entry A, and the next structure is 83 meV per atom less stable.

***

Entry A
LiTe2Pd8: optimized geometry, GGA-PBE.

Results
calculated volume: 191.13 Å³/cell

Cell lengths 7.050, 7.050, 4.572 Å; angles 101.04, 101.04, 115.66 degrees
Fractional coordinates of all 11 atoms:
Li 0.000 0.000 0.000
Te 0.317 0.683 0.500
Te 0.683 0.317 0.500
Pd 0.081 0.314 0.610
Pd 0.215 0.785 0.000
Pd 0.314 0.081 0.610
Pd 0.370 0.370 0.170
Pd 0.630 0.630 0.830
Pd 0.686 0.919 0.390
Pd 0.785 0.215 0.000
Pd 0.919 0.686 0.390

***

Entry B
LiTe2Pd8: optimized geometry, GGA-PBE.

Results
calculated volume: 179.90 Å³/cell

Cell lengths 7.806, 7.806, 5.485 Å; angles 93.70, 93.70, 32.65 degrees
Fractional coordinates of all 11 atoms:
Li 0.000 0.000 0.000
Te 0.365 0.365 0.821
Te 0.635 0.635 0.179
Pd 0.091 0.091 0.439
Pd 0.182 0.182 0.929
Pd 0.285 0.285 0.384
Pd 0.462 0.462 0.256
Pd 0.538 0.538 0.744
Pd 0.715 0.715 0.616
Pd 0.818 0.818 0.071
Pd 0.909 0.909 0.561

***

The most stable arrangement is entry B, and the next structure is 104 meV per atom less stable.

***

Entry A
LiTh2Pd8: optimized geometry, GGA-PBE.

Results
calculated volume: 206.52 Å³/cell

Cell lengths 7.958, 7.958, 4.456 Å; angles 100.54, 100.54, 126.73 degrees
Fractional coordinates of all 11 atoms:
Li 0.000 0.000 0.000
Th 0.308 0.692 0.500
Th 0.692 0.308 0.500
Pd 0.110 0.312 0.631
Pd 0.175 0.825 0.000
Pd 0.312 0.110 0.631
Pd 0.386 0.386 0.189
Pd 0.614 0.614 0.811
Pd 0.688 0.890 0.369
Pd 0.825 0.175 0.000
Pd 0.890 0.688 0.369

***

Entry B
LiTh2Pd8: optimized geometry, GGA-PBE.

Results
calculated volume: 197.67 Å³/cell

Cell lengths 4.205, 4.205, 11.181 Å; angles 90.00, 90.00, 90.00 degrees
Fractional coordinates of all 11 atoms:
Li 0.000 0.000 0.000
Th 0.000 0.000 0.307
Th 0.000 0.000 0.693
Pd 0.000 0.500 0.129
Pd 0.000 0.500 0.500
Pd 0.000 0.500 0.871
Pd 0.500 0.000 0.129
Pd 0.500 0.000 0.500
Pd 0.500 0.000 0.871
Pd 0.500 0.500 0.317
Pd 0.500 0.500 0.683

***

The most stable arrangement is entry B, and the next structure is 120 meV per atom less stable.

***

Entry A
LiThPd: optimized geometry, GGA-PBE.

Results
calculated volume: 63.07 Å³/cell

Cell lengths 4.444, 4.444, 3.687 Å; angles 90.00, 90.00, 120.00 degrees
Fractional coordinates of all 3 atoms:
Li 0.000 0.000 0.000
Th 0.667 0.333 0.500
Pd 0.333 0.667 0.000

***

Entry B
LiThPd: optimized geometry, GGA-PBE.

Results
calculated volume: 387.12 Å³/cell

Cell lengths 7.477, 4.031, 12.845 Å; angles 90.00, 91.01, 90.00 degrees
Fractional coordinates of all 18 atoms:
Li 0.012 0.250 0.078
Li 0.118 0.750 0.538
Li 0.377 0.250 0.201
Li 0.623 0.750 0.799
Li 0.882 0.250 0.462
Li 0.988 0.750 0.922
Th 0.056 0.750 0.286
Th 0.334 0.250 0.918
Th 0.452 0.250 0.626
Th 0.548 0.750 0.374
Th 0.666 0.750 0.082
Th 0.944 0.250 0.714
Pd 0.238 0.750 0.752
Pd 0.263 0.250 0.417
Pd 0.264 0.750 0.083
Pd 0.736 0.250 0.917
Pd 0.737 0.750 0.583
Pd 0.762 0.250 0.248

***

Entry C
LiThPd: optimized geometry, GGA-PBE.

Results
calculated volume: 62.52 Å³/cell

Cell lengths 5.689, 5.689, 5.689 Å; angles 144.25, 144.25, 51.45 degrees
Fractional coordinates of all 3 atoms:
Li 0.000 0.000 0.000
Th 0.710 0.710 0.000
Pd 0.388 0.388 0.000

***

Entry D
LiThPd: optimized geometry, GGA-PBE.

Results
calculated volume: 193.15 Å³/cell

Cell lengths 7.376, 7.376, 4.099 Å; angles 90.00, 90.00, 120.00 degrees
Fractional coordinates of all 9 atoms:
Li 0.000 0.232 0.000
Li 0.232 0.000 0.000
Li 0.768 0.768 0.000
Th 0.000 0.590 0.500
Th 0.410 0.410 0.500
Th 0.590 0.000 0.500
Pd 0.000 0.000 0.500
Pd 0.333 0.667 0.000
Pd 0.667 0.333 0.000

***

The most stable arrangement is entry B, and the next structure is 8 meV per atom less stable.

***

Entry A
Li3ThPd6: optimized geometry, GGA-PBE.

Results
calculated volume: 322.35 Å³/cell

Cell lengths 8.049, 4.329, 9.412 Å; angles 90.00, 100.59, 90.00 degrees
Fractional coordinates of all 20 atoms:
Li 0.042 0.250 0.395
Li 0.154 0.750 0.171
Li 0.245 0.250 0.977
Li 0.755 0.750 0.023
Li 0.846 0.250 0.829
Li 0.958 0.750 0.605
Th 0.426 0.250 0.630
Th 0.574 0.750 0.370
Pd 0.030 0.750 0.898
Pd 0.102 0.250 0.701
Pd 0.227 0.750 0.471
Pd 0.326 0.250 0.276
Pd 0.327 0.750 0.789
Pd 0.442 0.750 0.081
Pd 0.558 0.250 0.919
Pd 0.673 0.250 0.211
Pd 0.674 0.750 0.724
Pd 0.773 0.250 0.529
Pd 0.898 0.750 0.299
Pd 0.970 0.250 0.102

***

Entry B
Li3ThPd6: optimized geometry, GGA-PBE.

Results
calculated volume: 319.98 Å³/cell

Cell lengths 6.909, 6.909, 7.001 Å; angles 90.00, 90.00, 106.76 degrees
Fractional coordinates of all 20 atoms:
Li 0.030 0.970 0.500
Li 0.249 0.344 0.571
Li 0.344 0.249 0.071
Li 0.656 0.751 0.571
Li 0.751 0.656 0.071
Li 0.970 0.030 0.000
Th 0.271 0.729 0.111
Th 0.729 0.271 0.611
Pd 0.061 0.288 0.279
Pd 0.084 0.386 0.874
Pd 0.284 0.716 0.577
Pd 0.288 0.061 0.779
Pd 0.386 0.084 0.374
Pd 0.495 0.505 0.319
Pd 0.505 0.495 0.819
Pd 0.614 0.916 0.874
Pd 0.712 0.939 0.279
Pd 0.716 0.284 0.077
Pd 0.916 0.614 0.374
Pd 0.939 0.712 0.779

***

The most stable arrangement is entry A, and the next structure is 51 meV per atom less stable.

***

Entry A
Li2TiPd: optimized geometry, GGA-PBE.

Results
calculated volume: 57.41 Å³/cell

Cell lengths 4.330, 4.330, 4.330 Å; angles 60.00, 60.00, 60.00 degrees
Fractional coordinates of all 4 atoms:
Li 0.250 0.250 0.250
Li 0.750 0.750 0.750
Ti 0.000 0.000 0.000
Pd 0.500 0.500 0.500

***

Entry B
Li2TiPd: optimized geometry, GGA-PBE.

Results
calculated volume: 63.38 Å³/cell

Cell lengths 9.895, 9.895, 9.895 Å; angles 15.90, 15.90, 15.90 degrees
Fractional coordinates of all 4 atoms:
Li 0.094 0.094 0.094
Li 0.906 0.906 0.906
Ti 0.000 0.000 0.000
Pd 0.500 0.500 0.500

***

Entry C
Li2TiPd: optimized geometry, GGA-PBE.

Results
calculated volume: 130.55 Å³/cell

Cell lengths 5.657, 5.657, 5.657 Å; angles 101.93, 101.93, 125.92 degrees
Fractional coordinates of all 8 atoms:
Li 0.097 0.625 0.972
Li 0.375 0.347 0.472
Li 0.653 0.125 0.028
Li 0.875 0.903 0.528
Ti 0.250 0.750 0.500
Ti 0.500 0.500 0.000
Pd 0.000 0.000 0.000
Pd 0.750 0.250 0.500

***

The most stable arrangement is entry B, and the next structure is 81 meV per atom less stable.